The following is a DFT calculation (PBE+U) of a relaxed structure of MoPN2O.

Cell: 3.700 3.700 3.375 Å, 90.00 90.00 90.00°
Fractional coordinates of all 5 atoms:
Mo1 0.000 0.000 0.000
P1 0.500 0.500 0.500
N1 0.000 0.500 0.500
N2 0.500 0.000 0.500
O1 0.500 0.500 0.000

## Properties
- Crystal system: tetragonal
- Space group: P4/mmm
- Spin magnetization: 0.55 μB per atom
- Volume: 9.2 A^3/atom
- Raw total energy: -32.8 eV per formula unit